No. 1
## PmY6Al2 (PBE-GGA)

Data for a relaxed PmY6Al2 crystal.

As for the crystal system: monoclinic.

The structure belongs to space group C2/m (No. 12); the cell edges are 12.612, 3.698 and 11.865 Å and the angles 90.00°, 108.33° and 90.00°. The inequivalent atoms are Pm at (0.000, 0.000, 0.000), Y at (0.020, 0.000, 0.332), Y at (0.190, 0.500, 0.587), Y at (0.190, 0.500, 0.875) and Al at (0.149, 0.500, 0.210).



No. 2
## PmY2Al (PBE-GGA)

Data for a relaxed PmY2Al crystal.

As for the crystal system: orthorhombic.

The structure belongs to space group Pmmn (No. 59, origin choice 2); the cell edges are 5.355, 6.750 and 6.196 Å and the angles 90.00°, 90.00° and 90.00°. The inequivalent atoms are Pm at (0.250, 0.250, 0.121), Y at (0.250, 0.006, 0.658) and Al at (0.250, 0.750, 0.178).



No. 3
## PmY4Al5 (PBE-GGA)

Data for a relaxed PmY4Al5 crystal.

As for the crystal system: tetragonal.

The structure belongs to space group P4/mmm (No. 123); the cell edges are 3.619, 3.619 and 18.170 Å and the angles 90.00°, 90.00° and 90.00°. The inequivalent atoms are Pm at (0.000, 0.000, 0.000), Y at (0.000, 0.000, 0.204), Y at (0.000, 0.000, 0.401), Al at (0.500, 0.500, 0.106), Al at (0.500, 0.500, 0.303) and Al at (0.500, 0.500, 0.500).



No. 4
## Pm4YAl5 (PBE-GGA)

Data for a relaxed Pm4YAl5 crystal.

As for the crystal system: tetragonal.

The structure belongs to space group P4/mmm (No. 123); the cell edges are 3.680, 3.680 and 18.411 Å and the angles 90.00°, 90.00° and 90.00°. The inequivalent atoms are Pm at (0.000, 0.000, 0.101), Pm at (0.000, 0.000, 0.303), Y at (0.000, 0.000, 0.500), Al at (0.500, 0.500, 0.000), Al at (0.500, 0.500, 0.202) and Al at (0.500, 0.500, 0.406).



No. 5
## Pm3YAl (PBE-GGA)

Data for a relaxed Pm3YAl crystal.

As for the crystal system: monoclinic.

The structure belongs to space group C2/m (No. 12); the cell edges are 13.332, 3.657 and 12.551 Å and the angles 90.00°, 96.22° and 90.00°. The inequivalent atoms are Pm at (0.035, 0.000, 0.196), Pm at (0.137, 0.500, 0.982), Pm at (0.143, 0.000, 0.447), Y at (0.218, 0.000, 0.746) and Al at (0.050, 0.500, 0.619).



No. 6
## PmY3Al4 (PBE-GGA)

Data for a relaxed PmY3Al4 crystal.

As for the crystal system: tetragonal.

The structure belongs to space group P4/mmm (No. 123); the cell edges are 5.128, 5.128 and 7.285 Å and the angles 90.00°, 90.00° and 90.00°. The inequivalent atoms are Pm at (0.000, 0.000, 0.000), Y at (0.000, 0.000, 0.500), Y at (0.500, 0.500, 0.000), Y at (0.500, 0.500, 0.500) and Al at (0.000, 0.500, 0.255).



No. 7
## Pm4YAl2 (PBE-GGA)

Data for a relaxed Pm4YAl2 crystal.

As for the crystal system: trigonal.

The structure belongs to space group R-3m (No. 166, hexagonal axes); the cell edges are 5.3518, 5.3518 and 24.3002 Å and the angles 90.00°, 90.00° and 120.00°. The inequivalent atoms are Pm at (0.0000, 0.0000, 0.0880), Pm at (0.0000, 0.0000, 0.3478), Y at (0.0000, 0.0000, 0.5000) and Al at (0.0000, 0.0000, 0.2197).



No. 8
## Pm2Y2Al (PBE-GGA)

Data for a relaxed Pm2Y2Al crystal.

As for the crystal system: tetragonal.

The structure belongs to space group I4/mmm (No. 139); the cell edges are 4.275, 4.275 and 17.784 Å and the angles 90.00°, 90.00° and 90.00°. The inequivalent atoms are Pm at (0.000, 0.500, 0.250), Y at (0.000, 0.000, 0.085) and Al at (0.000, 0.000, 0.500).



No. 9
## Pm3Y2Al2 (PBE-GGA)

Data for a relaxed Pm3Y2Al2 crystal.

As for the crystal system: tetragonal.

The structure belongs to space group I4/mmm (No. 139); the cell edges are 3.570, 3.570 and 31.666 Å and the angles 90.00°, 90.00° and 90.00°. The inequivalent atoms are Pm at (0.000, 0.000, 0.000), Pm at (0.000, 0.000, 0.126), Y at (0.000, 0.000, 0.290) and Al at (0.000, 0.000, 0.436).



No. 10
## PmY2Al (PBE-GGA)

Data for a relaxed PmY2Al crystal.

As for the crystal system: tetragonal.

The structure belongs to space group P4/mmm (No. 123); the cell edges are 3.545, 3.545 and 9.098 Å and the angles 90.00°, 90.00° and 90.00°. The inequivalent atoms are Pm at (0.000, 0.000, 0.000), Y at (0.500, 0.500, 0.291) and Al at (0.000, 0.000, 0.500).



| no. | calculated formation energy (meV/atom) |
| --- | --- |
| 1 | -171.7 |
| 2 | -161.1 |
| 3 | -408.2 |
| 4 | -379.5 |
| 5 | -129.2 |
| 6 | -404.5 |
| 7 | -185.5 |
| 8 | 426.1 |
| 9 | -184.8 |
| 10 | -206.0 |